[1]
GaHg2 | PBE-GGA | relaxed

Values from the calculation:
- Calculated total energy: -1.14 eV/atom
- Space-group type: No. 139
- ΔE to the lowest computed polymorph: 0.0087 eV per atom
- Formation energy from the elements: 74 meV per atom

```
GaHg2
1.0
3.569 0.000 0.000
0.000 3.569 0.000
-1.785 -1.785 5.655
Hg Ga
2 1
Direct
0.658 0.658 0.317
0.342 0.342 0.683
0.000 0.000 0.000
```

---

[2]
GaHg2 | PBE-GGA | relaxed

Values from the calculation:
- Calculated total energy: -1.14 eV/atom
- Space-group type: No. 12
- ΔE to the lowest computed polymorph: 0.0000 eV per atom
- Formation energy from the elements: 66 meV per atom

```
GaHg2
1.0
4.124 0.000 0.000
-2.062 3.159 -0.175
0.000 -0.290 5.755
Ga Hg
1 2
Direct
0.247 0.494 0.501
0.579 0.159 0.185
0.914 0.829 0.816
```

---

[3]
Ga3Hg | PBE-GGA | relaxed

Values from the calculation:
- Calculated total energy: -2.27 eV/atom
- Space-group type: No. 44
- Formation energy from the elements: 72 meV per atom

```
Ga3Hg
1.0
3.058 0.000 0.000
0.000 5.156 0.000
-1.529 -2.578 5.300
Ga Hg
3 1
Direct
0.237 0.633 0.475
0.500 0.440 0.000
0.763 0.158 0.525
0.000 0.936 0.000
```

---

[4]
Ga3Hg | PBE-GGA | relaxed

Values from the calculation:
- Calculated total energy: -2.27 eV/atom
- Space-group type: No. 194
- Formation energy from the elements: 79 meV per atom

```
Ga3Hg
1.0
-3.535 -4.565 2.089
6.107 -0.634 -0.076
0.261 1.952 4.708
Hg Ga
2 6
Direct
0.667 0.333 0.250
0.333 0.667 0.750
0.157 0.314 0.250
0.157 0.843 0.250
0.314 0.157 0.750
0.843 0.157 0.750
0.843 0.686 0.750
0.686 0.843 0.250
```

---

[5]
Ga6Hg | PBE-GGA | relaxed

Values from the calculation:
- Calculated total energy: -2.60 eV/atom
- Space-group type: No. 125
- ΔE to the lowest computed polymorph: 0.0000 eV per atom
- Formation energy from the elements: 41 meV per atom

```
Ga6Hg
1.0
-5.372 -1.882 0.690
0.740 -0.026 5.686
-2.806 8.159 0.402
Ga Hg
12 2
Direct
0.324 0.824 0.360
0.500 0.500 0.849
0.676 0.824 0.640
0.824 0.676 0.360
0.500 0.500 0.151
0.000 0.000 0.151
0.000 0.000 0.849
0.676 0.176 0.360
0.824 0.324 0.640
0.176 0.676 0.640
0.324 0.176 0.640
0.176 0.324 0.360
0.500 0.000 0.000
0.000 0.500 0.000
```

---

[6]
Ga17Hg2 | PBE-GGA | relaxed

Values from the calculation:
- Calculated total energy: -2.68 eV/atom
- Space-group type: No. 166
- Formation energy from the elements: 61 meV per atom

```
Ga17Hg2
1.0
7.293 0.127 1.196
1.036 7.220 1.196
0.144 0.127 7.389
Ga Hg
17 2
Direct
0.289 0.711 0.000
0.142 0.622 0.622
0.000 0.289 0.711
0.378 0.378 0.858
0.711 0.289 0.000
0.000 0.711 0.289
0.378 0.858 0.378
0.893 0.893 0.893
0.500 0.000 0.000
0.622 0.142 0.622
0.000 0.500 0.000
0.711 0.000 0.289
0.107 0.107 0.107
0.858 0.378 0.378
0.289 0.000 0.711
0.622 0.622 0.142
0.000 0.000 0.500
0.653 0.653 0.653
0.347 0.347 0.347
```

---

Copy entry 6 word for word.
Ga17Hg2 | PBE-GGA | relaxed

Values from the calculation:
- Calculated total energy: -2.68 eV/atom
- Space-group type: No. 166
- Formation energy from the elements: 61 meV per atom

```
Ga17Hg2
1.0
7.293 0.127 1.196
1.036 7.220 1.196
0.144 0.127 7.389
Ga Hg
17 2
Direct
0.289 0.711 0.000
0.142 0.622 0.622
0.000 0.289 0.711
0.378 0.378 0.858
0.711 0.289 0.000
0.000 0.711 0.289
0.378 0.858 0.378
0.893 0.893 0.893
0.500 0.000 0.000
0.622 0.142 0.622
0.000 0.500 0.000
0.711 0.000 0.289
0.107 0.107 0.107
0.858 0.378 0.378
0.289 0.000 0.711
0.622 0.622 0.142
0.000 0.000 0.500
0.653 0.653 0.653
0.347 0.347 0.347
```